1.
A plane-wave DFT calculation with GGA-PBE was carried out for an optimized crystal structure of LiGdIr4.

Calculated values
volume	104	Å³/f.u.
Fermi-level density of states	6.12	states/eV per cell
electronic total energy	-54.1	eV/cell
size of the total moment	6.545	μB/cell

```
data_LiGdIr4
_cell_length_a 5.2824
_cell_length_b 5.2824
_cell_length_c 5.2824
_cell_angle_alpha 60.00
_cell_angle_beta 60.00
_cell_angle_gamma 60.00
_symmetry_space_group_name_H-M 'P 1'
_symmetry_Int_Tables_number 1
_symmetry_space_group_name_Hall 'P 1'
loop_
_atom_site_label
_atom_site_type_symbol
_atom_site_fract_x
_atom_site_fract_y
_atom_site_fract_z
Li1 Li 0.0000 0.0000 0.0000
Gd1 Gd 0.7500 0.7500 0.7500
Ir1 Ir 0.3746 0.3746 0.3746
Ir2 Ir 0.3746 0.3746 0.8763
Ir3 Ir 0.3746 0.8763 0.3746
Ir4 Ir 0.8763 0.3746 0.3746
```

=====

2.
A plane-wave DFT calculation with GGA-PBE was carried out for an optimized crystal structure of LiGdLuIr.

Calculated values
volume	83	Å³/f.u.
Fermi-level density of states	2.51	states/eV per cell
electronic total energy	-31.7	eV/cell
size of the total moment	7.158	μB/cell

```
data_LiGdLuIr
_cell_length_a 4.8865
_cell_length_b 4.8865
_cell_length_c 4.8865
_cell_angle_alpha 60.00
_cell_angle_beta 60.00
_cell_angle_gamma 60.00
_symmetry_space_group_name_H-M 'P 1'
_symmetry_Int_Tables_number 1
_symmetry_space_group_name_Hall 'P 1'
loop_
_atom_site_label
_atom_site_type_symbol
_atom_site_fract_x
_atom_site_fract_y
_atom_site_fract_z
Li1 Li 0.0000 0.0000 0.0000
Gd1 Gd 0.2500 0.2500 0.2500
Lu1 Lu 0.7500 0.7500 0.7500
Ir1 Ir 0.5000 0.5000 0.5000
```

=====

3.
A plane-wave DFT calculation with GGA-PBE was carried out for an optimized crystal structure of LiGdMgIr.

Calculated values
volume	77	Å³/f.u.
Fermi-level density of states	2.25	states/eV per cell
electronic total energy	-28.1	eV/cell
size of the total moment	7.210	μB/cell

```
data_LiGdMgIr
_cell_length_a 4.7696
_cell_length_b 4.7696
_cell_length_c 4.7696
_cell_angle_alpha 60.00
_cell_angle_beta 60.00
_cell_angle_gamma 60.00
_symmetry_space_group_name_H-M 'P 1'
_symmetry_Int_Tables_number 1
_symmetry_space_group_name_Hall 'P 1'
loop_
_atom_site_label
_atom_site_type_symbol
_atom_site_fract_x
_atom_site_fract_y
_atom_site_fract_z
Li1 Li 0.0000 0.0000 0.0000
Gd1 Gd 0.2500 0.2500 0.2500
Mg1 Mg 0.7500 0.7500 0.7500
Ir1 Ir 0.5000 0.5000 0.5000
```

=====

4.
A plane-wave DFT calculation with GGA-PBE was carried out for an optimized crystal structure of LiGdMnIr.

Calculated values
volume	72	Å³/f.u.
Fermi-level density of states	2.51	states/eV per cell
electronic total energy	-34.8	eV/cell
size of the total moment	11.299	μB/cell

```
data_LiGdMnIr
_cell_length_a 4.6754
_cell_length_b 4.6754
_cell_length_c 4.6754
_cell_angle_alpha 60.00
_cell_angle_beta 60.00
_cell_angle_gamma 60.00
_symmetry_space_group_name_H-M 'P 1'
_symmetry_Int_Tables_number 1
_symmetry_space_group_name_Hall 'P 1'
loop_
_atom_site_label
_atom_site_type_symbol
_atom_site_fract_x
_atom_site_fract_y
_atom_site_fract_z
Li1 Li 0.0000 0.0000 0.0000
Gd1 Gd 0.2500 0.2500 0.2500
Mn1 Mn 0.7500 0.7500 0.7500
Ir1 Ir 0.5000 0.5000 0.5000
```

=====

5.
A plane-wave DFT calculation with GGA-PBE was carried out for an optimized crystal structure of LiGdNiIr.

Calculated values
volume	63	Å³/f.u.
Fermi-level density of states	4.11	states/eV per cell
electronic total energy	-31.6	eV/cell
size of the total moment	6.993	μB/cell

```
data_LiGdNiIr
_cell_length_a 4.4725
_cell_length_b 4.4725
_cell_length_c 4.4725
_cell_angle_alpha 60.00
_cell_angle_beta 60.00
_cell_angle_gamma 60.00
_symmetry_space_group_name_H-M 'P 1'
_symmetry_Int_Tables_number 1
_symmetry_space_group_name_Hall 'P 1'
loop_
_atom_site_label
_atom_site_type_symbol
_atom_site_fract_x
_atom_site_fract_y
_atom_site_fract_z
Li1 Li 0.0000 0.0000 0.0000
Gd1 Gd 0.2500 0.2500 0.2500
Ni1 Ni 0.5000 0.5000 0.5000
Ir1 Ir 0.7500 0.7500 0.7500
```

=====

6.
A plane-wave DFT calculation with GGA-PBE was carried out for an optimized crystal structure of LiGdPaIr.

Calculated values
volume	85	Å³/f.u.
Fermi-level density of states	5.92	states/eV per cell
electronic total energy	-35.3	eV/cell
size of the total moment	7.410	μB/cell

```
data_LiGdPaIr
_cell_length_a 4.9356
_cell_length_b 4.9356
_cell_length_c 4.9356
_cell_angle_alpha 60.00
_cell_angle_beta 60.00
_cell_angle_gamma 60.00
_symmetry_space_group_name_H-M 'P 1'
_symmetry_Int_Tables_number 1
_symmetry_space_group_name_Hall 'P 1'
loop_
_atom_site_label
_atom_site_type_symbol
_atom_site_fract_x
_atom_site_fract_y
_atom_site_fract_z
Li1 Li 0.0000 0.0000 0.0000
Gd1 Gd 0.7500 0.7500 0.7500
Pa1 Pa 0.2500 0.2500 0.2500
Ir1 Ir 0.5000 0.5000 0.5000
```

=====

7.
A plane-wave DFT calculation with GGA-PBE was carried out for an optimized crystal structure of LiGdIrPb.

Calculated values
volume	80	Å³/f.u.
Fermi-level density of states	3.46	states/eV per cell
electronic total energy	-30.3	eV/cell
size of the total moment	7.219	μB/cell

```
data_LiGdIrPb
_cell_length_a 4.8362
_cell_length_b 4.8362
_cell_length_c 4.8362
_cell_angle_alpha 60.00
_cell_angle_beta 60.00
_cell_angle_gamma 60.00
_symmetry_space_group_name_H-M 'P 1'
_symmetry_Int_Tables_number 1
_symmetry_space_group_name_Hall 'P 1'
loop_
_atom_site_label
_atom_site_type_symbol
_atom_site_fract_x
_atom_site_fract_y
_atom_site_fract_z
Li1 Li 0.0000 0.0000 0.0000
Gd1 Gd 0.2500 0.2500 0.2500
Ir1 Ir 0.5000 0.5000 0.5000
Pb1 Pb 0.7500 0.7500 0.7500
```

=====

8.
A plane-wave DFT calculation with GGA-PBE was carried out for an optimized crystal structure of LiPrGdIr.

Calculated values
volume	91	Å³/f.u.
Fermi-level density of states	2.99	states/eV per cell
electronic total energy	-31.4	eV/cell
size of the total moment	7.140	μB/cell

```
data_LiPrGdIr
_cell_length_a 5.0486
_cell_length_b 5.0486
_cell_length_c 5.0486
_cell_angle_alpha 60.00
_cell_angle_beta 60.00
_cell_angle_gamma 60.00
_symmetry_space_group_name_H-M 'P 1'
_symmetry_Int_Tables_number 1
_symmetry_space_group_name_Hall 'P 1'
loop_
_atom_site_label
_atom_site_type_symbol
_atom_site_fract_x
_atom_site_fract_y
_atom_site_fract_z
Li1 Li 0.0000 0.0000 0.0000
Pr1 Pr 0.2500 0.2500 0.2500
Gd1 Gd 0.7500 0.7500 0.7500
Ir1 Ir 0.5000 0.5000 0.5000
```

=====

9.
A plane-wave DFT calculation with GGA-PBE was carried out for an optimized crystal structure of LiGdIrRu.

Calculated values
volume	67	Å³/f.u.
Fermi-level density of states	5.14	states/eV per cell
electronic total energy	-34.4	eV/cell
size of the total moment	5.803	μB/cell

```
data_LiGdIrRu
_cell_length_a 4.5700
_cell_length_b 4.5700
_cell_length_c 4.5700
_cell_angle_alpha 60.00
_cell_angle_beta 60.00
_cell_angle_gamma 60.00
_symmetry_space_group_name_H-M 'P 1'
_symmetry_Int_Tables_number 1
_symmetry_space_group_name_Hall 'P 1'
loop_
_atom_site_label
_atom_site_type_symbol
_atom_site_fract_x
_atom_site_fract_y
_atom_site_fract_z
Li1 Li 0.0000 0.0000 0.0000
Gd1 Gd 0.7500 0.7500 0.7500
Ir1 Ir 0.2500 0.2500 0.2500
Ru1 Ru 0.5000 0.5000 0.5000
```

=====

10.
A plane-wave DFT calculation with GGA-PBE was carried out for an optimized crystal structure of LiGdScIr.

Calculated values
volume	78	Å³/f.u.
Fermi-level density of states	2.59	states/eV per cell
electronic total energy	-33.4	eV/cell
size of the total moment	7.158	μB/cell

```
data_LiGdScIr
_cell_length_a 4.8016
_cell_length_b 4.8016
_cell_length_c 4.8016
_cell_angle_alpha 60.00
_cell_angle_beta 60.00
_cell_angle_gamma 60.00
_symmetry_space_group_name_H-M 'P 1'
_symmetry_Int_Tables_number 1
_symmetry_space_group_name_Hall 'P 1'
loop_
_atom_site_label
_atom_site_type_symbol
_atom_site_fract_x
_atom_site_fract_y
_atom_site_fract_z
Li1 Li 0.0000 0.0000 0.0000
Gd1 Gd 0.7500 0.7500 0.7500
Sc1 Sc 0.2500 0.2500 0.2500
Ir1 Ir 0.5000 0.5000 0.5000
```

=====

11.
A plane-wave DFT calculation with GGA-PBE was carried out for an optimized crystal structure of SrLiGdIr.

Calculated values
volume	93	Å³/f.u.
Fermi-level density of states	2.74	states/eV per cell
electronic total energy	-27.5	eV/cell
size of the total moment	7.153	μB/cell

```
data_SrLiGdIr
_cell_length_a 5.0903
_cell_length_b 5.0903
_cell_length_c 5.0903
_cell_angle_alpha 60.00
_cell_angle_beta 60.00
_cell_angle_gamma 60.00
_symmetry_space_group_name_H-M 'P 1'
_symmetry_Int_Tables_number 1
_symmetry_space_group_name_Hall 'P 1'
loop_
_atom_site_label
_atom_site_type_symbol
_atom_site_fract_x
_atom_site_fract_y
_atom_site_fract_z
Sr1 Sr 0.0000 0.0000 0.0000
Li1 Li 0.2500 0.2500 0.2500
Gd1 Gd 0.5000 0.5000 0.5000
Ir1 Ir 0.7500 0.7500 0.7500
```

=====

12.
A plane-wave DFT calculation with GGA-PBE was carried out for an optimized crystal structure of LiTbGdIr.

Calculated values
volume	86	Å³/f.u.
Fermi-level density of states	2.69	states/eV per cell
electronic total energy	-31.6	eV/cell
size of the total moment	7.128	μB/cell

```
data_LiTbGdIr
_cell_length_a 4.9505
_cell_length_b 4.9505
_cell_length_c 4.9505
_cell_angle_alpha 60.00
_cell_angle_beta 60.00
_cell_angle_gamma 60.00
_symmetry_space_group_name_H-M 'P 1'
_symmetry_Int_Tables_number 1
_symmetry_space_group_name_Hall 'P 1'
loop_
_atom_site_label
_atom_site_type_symbol
_atom_site_fract_x
_atom_site_fract_y
_atom_site_fract_z
Li1 Li 0.0000 0.0000 0.0000
Tb1 Tb 0.7500 0.7500 0.7500
Gd1 Gd 0.2500 0.2500 0.2500
Ir1 Ir 0.5000 0.5000 0.5000
```

=====

13.
A plane-wave DFT calculation with GGA-PBE was carried out for an optimized crystal structure of LiGdThIr.

Calculated values
volume	90	Å³/f.u.
Fermi-level density of states	3.40	states/eV per cell
electronic total energy	-33.9	eV/cell
size of the total moment	7.047	μB/cell

```
data_LiGdThIr
_cell_length_a 5.0386
_cell_length_b 5.0386
_cell_length_c 5.0386
_cell_angle_alpha 60.00
_cell_angle_beta 60.00
_cell_angle_gamma 60.00
_symmetry_space_group_name_H-M 'P 1'
_symmetry_Int_Tables_number 1
_symmetry_space_group_name_Hall 'P 1'
loop_
_atom_site_label
_atom_site_type_symbol
_atom_site_fract_x
_atom_site_fract_y
_atom_site_fract_z
Li1 Li 0.0000 0.0000 0.0000
Gd1 Gd 0.7500 0.7500 0.7500
Th1 Th 0.2500 0.2500 0.2500
Ir1 Ir 0.5000 0.5000 0.5000
```

=====

14.
A plane-wave DFT calculation with GGA-PBE was carried out for an optimized crystal structure of LiGdZnIr.

Calculated values
volume	72	Å³/f.u.
Fermi-level density of states	2.17	states/eV per cell
electronic total energy	-27.7	eV/cell
size of the total moment	7.169	μB/cell

```
data_LiGdZnIr
_cell_length_a 4.6627
_cell_length_b 4.6627
_cell_length_c 4.6627
_cell_angle_alpha 60.00
_cell_angle_beta 60.00
_cell_angle_gamma 60.00
_symmetry_space_group_name_H-M 'P 1'
_symmetry_Int_Tables_number 1
_symmetry_space_group_name_Hall 'P 1'
loop_
_atom_site_label
_atom_site_type_symbol
_atom_site_fract_x
_atom_site_fract_y
_atom_site_fract_z
Li1 Li 0.0000 0.0000 0.0000
Gd1 Gd 0.2500 0.2500 0.2500
Zn1 Zn 0.7500 0.7500 0.7500
Ir1 Ir 0.5000 0.5000 0.5000
```

=====

15.
A plane-wave DFT calculation with GGA-PBE was carried out for an optimized crystal structure of LiGdZrIr.

Calculated values
volume	79	Å³/f.u.
Fermi-level density of states	3.09	states/eV per cell
electronic total energy	-35.1	eV/cell
size of the total moment	7.280	μB/cell

```
data_LiGdZrIr
_cell_length_a 4.8154
_cell_length_b 4.8154
_cell_length_c 4.8154
_cell_angle_alpha 60.00
_cell_angle_beta 60.00
_cell_angle_gamma 60.00
_symmetry_space_group_name_H-M 'P 1'
_symmetry_Int_Tables_number 1
_symmetry_space_group_name_Hall 'P 1'
loop_
_atom_site_label
_atom_site_type_symbol
_atom_site_fract_x
_atom_site_fract_y
_atom_site_fract_z
Li1 Li 0.0000 0.0000 0.0000
Gd1 Gd 0.2500 0.2500 0.2500
Zr1 Zr 0.7500 0.7500 0.7500
Ir1 Ir 0.5000 0.5000 0.5000
```

=====

16.
A plane-wave DFT calculation with GGA-PBE was carried out for an optimized crystal structure of GdLuIr.

Calculated values
volume	86	Å³/f.u.
excess energy over the best structure of this formula in the dataset	14.6	kJ/mol of atoms
Fermi-level density of states	2.42	states/eV per cell
size of the total moment	7.231	μB/cell

```
data_GdLuIr
_cell_length_a 4.1274
_cell_length_b 4.1274
_cell_length_c 5.8524
_cell_angle_alpha 90.00
_cell_angle_beta 90.00
_cell_angle_gamma 120.00
_symmetry_space_group_name_H-M 'P 1'
_symmetry_Int_Tables_number 1
_symmetry_space_group_name_Hall 'P 1'
loop_
_atom_site_label
_atom_site_type_symbol
_atom_site_fract_x
_atom_site_fract_y
_atom_site_fract_z
Gd1 Gd 0.0000 0.0000 0.0000
Lu1 Lu 0.3333 0.6667 0.5314
Ir1 Ir 0.6667 0.3333 0.7533
```

=====

17.
A plane-wave DFT calculation with GGA-PBE was carried out for an optimized crystal structure of GdLuIr.

Calculated values
volume	75	Å³/f.u.
excess energy over the best structure of this formula in the dataset	10.8	kJ/mol of atoms
Fermi-level density of states	3.55	states/eV per cell
size of the total moment	7.190	μB/cell

```
data_GdLuIr
_cell_length_a 6.7568
_cell_length_b 6.7568
_cell_length_c 6.7568
_cell_angle_alpha 150.48
_cell_angle_beta 150.48
_cell_angle_gamma 42.24
_symmetry_space_group_name_H-M 'P 1'
_symmetry_Int_Tables_number 1
_symmetry_space_group_name_Hall 'P 1'
loop_
_atom_site_label
_atom_site_type_symbol
_atom_site_fract_x
_atom_site_fract_y
_atom_site_fract_z
Gd1 Gd 0.0000 0.0000 0.0000
Lu1 Lu 0.7420 0.7420 0.0000
Ir1 Ir 0.3639 0.3639 0.0000
```

=====

18.
A plane-wave DFT calculation with GGA-PBE was carried out for an optimized crystal structure of GdLu3Ir.

Calculated values
volume	151	Å³/f.u.
Fermi-level density of states	7.78	states/eV per cell
electronic total energy	-38.2	eV/cell
size of the total moment	7.666	μB/cell

```
data_GdLu3Ir
_cell_length_a 5.3268
_cell_length_b 5.3268
_cell_length_c 5.3268
_cell_angle_alpha 90.00
_cell_angle_beta 90.00
_cell_angle_gamma 90.00
_symmetry_space_group_name_H-M 'P 1'
_symmetry_Int_Tables_number 1
_symmetry_space_group_name_Hall 'P 1'
loop_
_atom_site_label
_atom_site_type_symbol
_atom_site_fract_x
_atom_site_fract_y
_atom_site_fract_z
Gd1 Gd 0.0000 0.0000 0.0000
Lu1 Lu 0.0000 0.5000 0.5000
Lu2 Lu 0.5000 0.0000 0.5000
Lu3 Lu 0.5000 0.5000 0.0000
Ir1 Ir 0.5000 0.5000 0.5000
```

=====

19.
A plane-wave DFT calculation with GGA-PBE was carried out for an optimized crystal structure of GdLuIr.

Calculated values
volume	77	Å³/f.u.
excess energy over the best structure of this formula in the dataset	0.0	kJ/mol of atoms
Fermi-level density of states	2.90	states/eV per cell
size of the total moment	7.326	μB/cell

```
data_GdLuIr
_cell_length_a 4.7794
_cell_length_b 4.7794
_cell_length_c 4.7794
_cell_angle_alpha 60.00
_cell_angle_beta 60.00
_cell_angle_gamma 60.00
_symmetry_space_group_name_H-M 'P 1'
_symmetry_Int_Tables_number 1
_symmetry_space_group_name_Hall 'P 1'
loop_
_atom_site_label
_atom_site_type_symbol
_atom_site_fract_x
_atom_site_fract_y
_atom_site_fract_z
Gd1 Gd 0.0000 0.0000 0.0000
Lu1 Lu 0.5000 0.5000 0.5000
Ir1 Ir 0.2500 0.2500 0.2500
```

=====

20.
A plane-wave DFT calculation with GGA-PBE was carried out for an optimized crystal structure of Gd3LuIr.

Calculated values
volume	163	Å³/f.u.
Fermi-level density of states	7.83	states/eV per cell
electronic total energy	-56.6	eV/cell
size of the total moment	22.223	μB/cell

```
data_Gd3LuIr
_cell_length_a 5.4616
_cell_length_b 5.4616
_cell_length_c 5.4616
_cell_angle_alpha 90.00
_cell_angle_beta 90.00
_cell_angle_gamma 90.00
_symmetry_space_group_name_H-M 'P 1'
_symmetry_Int_Tables_number 1
_symmetry_space_group_name_Hall 'P 1'
loop_
_atom_site_label
_atom_site_type_symbol
_atom_site_fract_x
_atom_site_fract_y
_atom_site_fract_z
Gd1 Gd 0.0000 0.0000 0.5000
Gd2 Gd 0.0000 0.5000 0.0000
Gd3 Gd 0.5000 0.0000 0.0000
Lu1 Lu 0.5000 0.5000 0.5000
Ir1 Ir 0.0000 0.0000 0.0000
```